1.
Material: LuGaCuAg
Method: DFT, PBE
State: relaxed

## Properties
energy above the lowest structure with this stoichiometry: 0.0 kJ per mole of atoms
space group: No. 216

Cell and atoms, written as POSCAR:
```
LuGaCuAg
1.0
0.0000 3.2788 3.2788
3.2788 0.0000 3.2788
3.2788 3.2788 0.0000
Lu Ag Cu Ga
1 1 1 1
direct
0.5000 0.5000 0.5000
0.2500 0.2500 0.2500
0.7500 0.7500 0.7500
0.0000 0.0000 0.0000
```

2.
Material: LuNp
Method: DFT, PBE
State: relaxed

## Properties
energy above the lowest structure with this stoichiometry: 88.3 kJ per mole of atoms
DFT formation energy: 1.31 eV per atom
space group: No. 225

Cell and atoms, written as POSCAR:
```
LuNp
1.0
-3.3716 -2.0803 1.8937
-1.6433 1.4816 3.7929
-3.9682 1.8780 0.0890
Lu Np
1 1
direct
0.0000 0.0000 0.0000
0.5000 0.5000 0.5000
```

3.
Material: Li2AgHg
Method: DFT, PBE
State: relaxed

## Properties
space group: No. 139

Cell and atoms, written as POSCAR:
```
Li2AgHg
1.0
4.5345 0.0000 0.0000
0.0000 6.4749 0.0000
0.0000 0.0000 13.5836
Li Ag Hg
12 6 6
direct
0.5000 0.7501 0.6667
0.5000 0.2499 0.0000
0.0000 0.2501 0.1667
0.5000 0.2499 0.6667
0.0000 0.7499 0.5000
0.0000 0.2501 0.5000
0.5000 0.7501 0.0000
0.0000 0.7499 0.1667
0.5000 0.7501 0.3333
0.5000 0.2499 0.3333
0.0000 0.2501 0.8333
0.0000 0.7499 0.8333
0.0000 0.0000 0.6667
0.5000 0.5000 0.5000
0.5000 0.5000 0.1667
0.5000 0.5000 0.8333
0.0000 0.0000 0.0000
0.0000 0.0000 0.3333
0.5000 0.0000 0.8334
0.0000 0.5000 0.0000
0.5000 0.0000 0.5000
0.5000 0.0000 0.1666
0.0000 0.5000 0.3334
0.0000 0.5000 0.6666
```

4.
Material: Y5Tm2Ni2Te2
Method: DFT, PBE
State: relaxed

## Properties
energy above the lowest structure with this stoichiometry: 1.4 kJ per mole of atoms
space group: No. 44

Cell and atoms, written as POSCAR:
```
Y5Tm2Ni2Te2
1.0
4.7836 0.6033 8.0260
-8.2884 4.3154 -0.5859
5.8410 -7.1945 1.3364
Y Ni Te Tm
5 2 2 2
direct
0.9773 0.4773 0.5000
0.9123 0.0968 0.8155
0.2813 0.0968 0.1845
0.2641 0.8954 0.3687
0.5267 0.8954 0.6313
0.1433 0.4050 0.7383
0.6667 0.4050 0.2617
0.2415 0.2415 0.0000
0.6416 0.1416 0.5000
0.5992 0.7456 0.8536
0.8921 0.7456 0.1464
```

5.
Material: U2GePt3
Method: DFT, PBE
State: relaxed

## Properties
space group: No. 69

Cell and atoms, written as POSCAR:
```
U2GePt3
1.0
0.0000 4.5890 8.0802
3.0215 0.0000 8.0802
3.0215 4.5890 0.0000
Pt U Ge
6 4 2
direct
0.3185 0.8515 0.1485
0.1485 0.6815 0.3185
0.8515 0.3185 0.6815
0.6714 0.6714 0.3286
0.3286 0.3286 0.6714
0.6815 0.1485 0.8515
0.7500 0.7500 0.7500
0.7135 0.2865 0.2865
0.2500 0.2500 0.2500
0.2865 0.7135 0.7135
0.8342 0.8342 0.1658
0.1658 0.1658 0.8342
```

6.
Material: ErScIn2Pt4
Method: DFT, PBE
State: relaxed

## Properties
space group: No. 187

Cell and atoms, written as POSCAR:
```
ErScIn2Pt4
1.0
4.5352 0.0000 0.0000
-2.2676 3.9276 0.0000
0.0000 0.0000 8.7994
Er Sc Pt In
1 1 4 2
direct
0.0000 0.0000 0.0000
0.3333 0.6667 0.5000
0.3333 0.6667 0.8385
0.0000 0.0000 0.3450
0.3333 0.6667 0.1615
0.0000 0.0000 0.6550
0.6667 0.3333 0.2573
0.6667 0.3333 0.7427
```

7.
Material: UTc
Method: DFT, PBE
State: relaxed

## Properties
DFT formation energy: 0.28 eV per atom
space group: No. 187

Cell and atoms, written as POSCAR:
```
UTc
1.0
-2.8169 0.7965 0.8966
0.3698 -2.0244 -2.2667
0.0054 -3.3750 3.0151
Tc U
1 1
direct
0.6667 0.3333 0.7500
0.3333 0.6667 0.2500
```

8.
Material: KSnAuSe3
Method: DFT, PBE
State: relaxed

## Properties
energy above the lowest structure with this stoichiometry: 1.6 kJ per mole of atoms
space group: No. 11

Cell and atoms, written as POSCAR:
```
KSnAuSe3
1.0
9.0074 0.0000 0.0000
0.0000 4.1458 0.0000
-3.1713 0.0000 9.4221
K Se Au Sn
2 6 2 2
direct
0.2751 0.2500 0.8058
0.7249 0.7500 0.1942
0.4491 0.7500 0.6370
0.1206 0.2500 0.3604
0.5509 0.2500 0.3630
0.7161 0.2500 0.9213
0.2839 0.7500 0.0787
0.8794 0.7500 0.6396
0.0206 0.7500 0.9000
0.9794 0.2500 0.1000
0.3228 0.7500 0.3544
0.6772 0.2500 0.6456
```

9.
Material: HoMg2Pb
Method: DFT, PBE
State: relaxed

## Properties
space group: No. 123

Cell and atoms, written as POSCAR:
```
HoMg2Pb
1.0
4.5448 0.0000 0.0000
0.0000 4.5448 0.0000
0.0000 0.0000 4.7846
Ho Mg Pb
1 2 1
direct
0.0000 0.0000 0.5000
0.5000 0.0000 0.0000
0.0000 0.5000 0.0000
0.5000 0.5000 0.5000
```

10.
Material: ZnGaIr2
Method: DFT, PBE
State: relaxed

## Properties
energy above the lowest structure with this stoichiometry: 46.9 kJ per mole of atoms
space group: No. 194

Cell and atoms, written as POSCAR:
```
ZnGaIr2
1.0
-0.6978 3.9326 -1.4433
-2.5946 -3.1674 -1.1277
-4.4927 1.4755 6.1923
Zn Ir Ga
2 4 2
direct
0.0000 0.0000 0.2500
0.0000 0.0000 0.7500
0.3333 0.6667 0.0820
0.6667 0.3333 0.9180
0.3333 0.6667 0.4180
0.6667 0.3333 0.5820
0.6667 0.3333 0.2500
0.3333 0.6667 0.7500
```

11.
Material: Cd2CoGeP4
Method: DFT, PBE
State: relaxed

## Properties
space group: No. 82

Cell and atoms, written as POSCAR:
```
Cd2CoGeP4
1.0
-3.9358 -5.4421 0.5028
-3.5979 0.6442 5.6569
0.8996 4.2843 -5.1182
Cd P Co Ge
2 4 1 1
direct
0.7500 0.2500 0.5000
0.5000 0.5000 0.0000
0.5990 0.0648 0.9282
0.3293 0.4010 0.4658
0.9352 0.8635 0.5342
0.1365 0.6707 0.0718
0.2500 0.7500 0.5000
0.0000 0.0000 0.0000
```

12.
Material: LiCdSiNi
Method: DFT, PBE
State: relaxed

## Properties
space group: No. 216

Cell and atoms, written as POSCAR:
```
LiCdSiNi
1.0
-0.0744 2.5287 3.4397
-3.6134 1.9836 1.1138
-2.1139 -1.2220 3.5028
Ni Cd Li Si
1 1 1 1
direct
0.7500 0.7500 0.7500
0.5000 0.5000 0.5000
0.2500 0.2500 0.2500
0.0000 0.0000 0.0000
```

13.
Material: RbZrAu3S4
Method: DFT, PBE
State: relaxed

## Properties
energy above the lowest structure with this stoichiometry: 0.0 kJ per mole of atoms
space group: No. 215

Cell and atoms, written as POSCAR:
```
RbZrAu3S4
1.0
6.2900 0.0000 0.0000
0.0000 6.2900 0.0000
0.0000 0.0000 6.2900
S Rb Au Zr
4 1 3 1
direct
0.2780 0.2780 0.2780
0.2780 0.7220 0.7220
0.7220 0.7220 0.2780
0.7220 0.2780 0.7220
0.0000 0.0000 0.0000
0.5000 0.5000 0.0000
0.5000 0.0000 0.5000
0.0000 0.5000 0.5000
0.5000 0.5000 0.5000
```

14.
Material: Tb2DyGa3Si2Ni
Method: DFT, PBE
State: relaxed

## Properties
space group: No. 38

Cell and atoms, written as POSCAR:
```
Tb2DyGa3Si2Ni
1.0
-0.2003 3.9983 1.1254
4.3701 -1.2376 5.1746
2.4197 1.8585 -6.1722
Ni Ga Dy Tb Si
1 3 1 2 2
direct
0.0000 0.0009 0.0009
0.5000 0.2358 0.0005
0.5000 0.0005 0.2358
0.5000 0.7642 0.7642
0.0000 0.4029 0.4029
0.0000 0.9999 0.5965
0.0000 0.5965 0.9999
0.5000 0.3337 0.6658
0.5000 0.6658 0.3337
```

15.
Material: GdScCSe
Method: DFT, PBE
State: relaxed

## Properties
energy above the lowest structure with this stoichiometry: 0.7 kJ per mole of atoms
space group: No. 164

Cell and atoms, written as POSCAR:
```
GdScCSe
1.0
-1.8615 3.0938 -0.6024
0.6056 -2.3370 -2.7516
-11.0415 -6.1067 2.7561
Gd C Sc Se
2 2 2 2
direct
0.3333 0.6667 0.3930
0.6667 0.3333 0.6070
0.0000 0.0000 0.0000
0.0000 0.0000 0.5000
0.6667 0.3333 0.9079
0.3333 0.6667 0.0921
0.3333 0.6667 0.7667
0.6667 0.3333 0.2333
```

16.
Material: Dy3Lu4Ir2S2
Method: DFT, PBE
State: relaxed

## Properties
space group: No. 44

Cell and atoms, written as POSCAR:
```
Dy3Lu4Ir2S2
1.0
-1.9254 7.3608 4.4615
1.9254 -7.3608 4.4615
1.9254 7.3608 -4.4615
Lu Dy S Ir
4 3 2 2
direct
0.0717 0.8918 0.1799
0.7281 0.1074 0.6207
0.4867 0.1074 0.3793
0.7120 0.8918 0.8201
0.0158 0.5158 0.5000
0.1299 0.2688 0.8611
0.4077 0.2688 0.1389
0.3631 0.8631 0.5000
0.7620 0.7620 0.0000
0.8461 0.5884 0.2576
0.3308 0.5884 0.7424
```

17.
Material: Pr2AgGe
Method: DFT, PBE
State: relaxed

## Properties
space group: No. 31

Cell and atoms, written as POSCAR:
```
Pr2AgGe
1.0
-4.4706 0.5906 0.2073
-0.5601 -1.5691 -7.6058
-0.7339 -6.0097 1.2939
Pr Ge Ag
4 2 2
direct
0.0000 0.9200 0.8736
0.0000 0.4282 0.6446
0.5000 0.0800 0.3736
0.5000 0.5718 0.1446
0.0000 0.8013 0.3532
0.5000 0.1987 0.8532
0.5000 0.7121 0.6287
0.0000 0.2879 0.1287
```

18.
Material: BaNbPtAu
Method: DFT, PBE
State: relaxed

## Properties
energy above the lowest structure with this stoichiometry: 16.8 kJ per mole of atoms
space group: No. 216

Cell and atoms, written as POSCAR:
```
BaNbPtAu
1.0
0.4087 -4.4512 -2.0166
-0.1539 -3.9991 2.8338
-3.8907 -2.9798 -0.1735
Nb Pt Au Ba
1 1 1 1
direct
0.0000 0.0000 0.0000
0.5000 0.5000 0.5000
0.7500 0.7500 0.7500
0.2500 0.2500 0.2500
```

19.
Material: TaTeAs
Method: DFT, PBE
State: relaxed

## Properties
space group: No. 14

Cell and atoms, written as POSCAR:
```
TaTeAs
1.0
-1.4857 5.0908 -4.1658
-5.2280 1.8987 4.1849
4.5237 1.0807 5.1610
Ta Te As
4 4 4
direct
0.7650 0.0103 0.0116
0.2350 0.9897 0.9884
0.7650 0.4897 0.5116
0.2350 0.5103 0.4884
0.6530 0.8643 0.3145
0.3470 0.3643 0.1855
0.3470 0.1357 0.6855
0.6530 0.6357 0.8145
0.8638 0.1603 0.7284
0.1362 0.8397 0.2716
0.1362 0.6603 0.7716
0.8638 0.3397 0.2284
```

20.
Material: Hf2Ta2Pb
Method: DFT, PBE
State: relaxed

## Properties
space group: No. 139

Cell and atoms, written as POSCAR:
```
Hf2Ta2Pb
1.0
2.4616 3.0383 6.1288
-3.4337 2.7376 5.7938
0.5481 -5.5458 -4.6686
Ta Hf Pb
2 2 1
direct
0.4032 0.4032 0.0000
0.5968 0.5968 0.0000
0.2500 0.7500 0.5000
0.7500 0.2500 0.5000
0.0000 0.0000 0.0000
```

21.
Material: Tm2SbO4
Method: DFT, PBE
State: relaxed

## Properties
space group: No. 227

Cell and atoms, written as POSCAR:
```
Tm2SbO4
1.0
4.7891 -4.7906 0.0000
-4.7891 0.0000 -4.7906
4.7891 4.7906 0.0000
O Tm Sb
8 4 2
direct
0.6077 0.2153 0.8230
0.6076 0.2153 0.3923
0.5730 0.7153 0.8577
0.6077 0.7847 0.3924
0.1424 0.2847 0.8577
0.1423 0.7153 0.8576
0.1770 0.7847 0.3923
0.1423 0.2847 0.4270
0.3750 0.7500 0.1250
0.3750 0.2500 0.6250
0.8750 0.2500 0.6250
0.3750 0.7500 0.6250
0.0000 0.0000 0.0000
0.7500 0.5000 0.2500
```

22.
Material: PrY2Cu4Sn4
Method: DFT, PBE
State: relaxed

## Properties
space group: No. 71

Cell and atoms, written as POSCAR:
```
PrY2Cu4Sn4
1.0
-2.2369 3.5318 7.3938
2.2369 -3.5318 7.3938
2.2369 3.5318 -7.3938
Sn Cu Pr Y
4 4 1 2
direct
0.7185 0.7185 0.0000
0.8020 0.0000 0.8020
0.2815 0.2815 0.0000
0.1980 0.0000 0.1980
0.1422 0.8294 0.3128
0.4834 0.1706 0.3128
0.5166 0.8294 0.6872
0.8578 0.1706 0.6872
0.5000 0.5000 0.0000
0.1312 0.6312 0.5000
0.8688 0.3688 0.5000
```

23.
Material: ZrBe2Tc2
Method: DFT, PBE
State: relaxed

## Properties
space group: No. 127

Cell and atoms, written as POSCAR:
```
ZrBe2Tc2
1.0
-5.5139 2.1011 2.3997
-0.7944 -5.5461 3.0306
1.5721 1.1828 2.5767
Be Tc Zr
4 4 2
direct
0.8868 0.6132 0.0000
0.6132 0.1132 0.0000
0.3868 0.8868 0.0000
0.1132 0.3868 0.0000
0.1725 0.6725 0.5000
0.8275 0.3275 0.5000
0.6725 0.8275 0.5000
0.3275 0.1725 0.5000
0.0000 0.0000 0.0000
0.5000 0.5000 0.0000
```

24.
Material: MoOsPd2
Method: DFT, PBE
State: relaxed

## Properties
energy above the lowest structure with this stoichiometry: 0.0 kJ per mole of atoms
DFT formation energy: 0.00 eV per atom
space group: No. 40

Cell and atoms, written as POSCAR:
```
MoOsPd2
1.0
-1.9422 3.3311 -2.2102
-4.9221 -1.5089 2.0510
3.1056 3.6538 2.7777
Mo Os Pd
2 2 4
direct
0.2500 0.3364 0.6537
0.7500 0.6537 0.3364
0.2500 0.3325 0.1748
0.7500 0.1748 0.3325
0.7500 0.6629 0.8379
0.2500 0.8379 0.6629
0.7500 0.1684 0.8335
0.2500 0.8335 0.1684
```

no.,DFT total energy (Ry/atom)
1,-0.28084
2,-0.53897
3,-0.14961
4,-0.44204
5,-0.60686
6,-0.44107
7,-0.77550
8,-0.26775
9,-0.23041
10,-0.39379
11,-0.32337
12,-0.26500
13,-0.34004
14,-0.37217
15,-0.51623
16,-0.46929
17,-0.35107
18,-0.36160
19,-0.49241
20,-0.63475
21,-0.53446
22,-0.36296
23,-0.56327
24,-0.59560